The following is a DFT calculation (GGA-PBE) of a geometry-optimized Sc8Fe2C3N3 structure.

a b c (Å): 3.203 3.203 24.533
angles (deg): 90.00 90.00 120.00
Fractional coordinates of all 16 atoms:
1 Sc 0.000 0.000 0.156
2 Sc 0.000 0.000 0.337
3 Sc 0.000 0.000 0.663
4 Sc 0.000 0.000 0.844
5 Sc 0.333 0.667 0.557
6 Sc 0.333 0.667 0.948
7 Sc 0.667 0.333 0.052
8 Sc 0.667 0.333 0.443
9 Fe 0.333 0.667 0.757
10 Fe 0.667 0.333 0.243
11 C 0.000 0.000 0.500
12 C 0.333 0.667 0.384
13 C 0.667 0.333 0.616
14 N 0.000 0.000 0.000
15 N 0.333 0.667 0.107
16 N 0.667 0.333 0.893

Summary:
E in eV for the cell shown: -131.69

***

The following is a DFT calculation (GGA-PBE) of a geometry-optimized FeSn2C6N6 structure.

a b c (Å): 7.144 7.144 5.346
angles (deg): 90.00 90.00 120.00
Fractional coordinates of all 15 atoms:
1 Fe 0.000 0.000 0.000
2 Sn 0.333 0.667 0.417
3 Sn 0.667 0.333 0.583
4 C 0.083 0.245 0.804
5 C 0.161 0.917 0.804
6 C 0.245 0.161 0.196
7 C 0.755 0.839 0.804
8 C 0.839 0.083 0.196
9 C 0.917 0.755 0.196
10 N 0.131 0.403 0.687
11 N 0.272 0.869 0.687
12 N 0.403 0.272 0.313
13 N 0.597 0.728 0.687
14 N 0.728 0.131 0.313
15 N 0.869 0.597 0.313

Summary:
E in eV for the cell shown: -117.87

***

Q: What is the E in the first record?
A: -131.69 eV for the cell shown

***

What did the second record say?
The following is a DFT calculation (GGA-PBE) of a geometry-optimized FeSn2C6N6 structure.

a b c (Å): 7.144 7.144 5.346
angles (deg): 90.00 90.00 120.00
Fractional coordinates of all 15 atoms:
1 Fe 0.000 0.000 0.000
2 Sn 0.333 0.667 0.417
3 Sn 0.667 0.333 0.583
4 C 0.083 0.245 0.804
5 C 0.161 0.917 0.804
6 C 0.245 0.161 0.196
7 C 0.755 0.839 0.804
8 C 0.839 0.083 0.196
9 C 0.917 0.755 0.196
10 N 0.131 0.403 0.687
11 N 0.272 0.869 0.687
12 N 0.403 0.272 0.313
13 N 0.597 0.728 0.687
14 N 0.728 0.131 0.313
15 N 0.869 0.597 0.313

Summary:
E in eV for the cell shown: -117.87

***

Q: Which of these has the lowest E?
A: Sc8Fe2C3N3